Computed, not measured: a relaxed structure of Mg2MnRe at the PBE level of DFT.

Lattice parameters (Å, degrees): 2.9822 2.9822 7.2452 90.00 90.00 90.00
Closest atoms and distances in Å follow each position.
Sites, in units of the cell vectors:
Mg  0.0000  0.0000  0.0000  4 Re 2.84, 8 Mg 2.98-3.13, 1 Mn 3.18
Mg  0.5000  0.5000  0.3186  4 Mn 2.74, 4 Mg 2.98, 1 Re 3.03
Mn  0.0000  0.0000  0.5606  4 Re 2.46, 4 Mg 2.74
Re  0.5000  0.5000  0.7365  4 Mn 2.46

Values from the calculation:
- ΔE to the lowest computed polymorph: 0 meV per atom
- Fermi-level density of states: 1.28 states/eV/f.u.
- Formation energy from the elements: 111 meV/atom